1.
Computed, not measured: Sm5Y4Ho after structural relaxation at the PBE-GGA level of DFT.

ΔE_f: 250 meV per atom
Magnetization: 0.00 Bohr magnetons per cell
E_tot: -5.153 eV/atom

abc: 10.6077 10.6077 6.0172
angles: 90.00 90.00 90.00
Space group I4mm (No. 107)
Symmetry-distinct sites (fractional):
1 Sm 0.0000 0.0000 0.0000 [2 per cell]
2 Sm 0.1882 0.1882 0.2659 [8 per cell]
3 Y 0.0000 0.3234 0.7594 [8 per cell]
4 Ho 0.0000 0.0000 0.5324 [2 per cell]

2.
Computed, not measured: TiCuIrRh after structural relaxation at the PBE-GGA level of DFT.

ΔE_f: -529 meV per atom
Magnetization: 0.00 Bohr magnetons per cell
E_tot: -7.580 eV/atom

abc: 3.5840 3.9420 3.9470
angles: 90.00 90.00 90.00
Space group Pmmm (No. 47)
Symmetry-distinct sites (fractional):
1 Ti 0.0000 0.0000 0.0000 [1 per cell]
2 Cu 0.0000 0.5000 0.5000 [1 per cell]
3 Ir 0.5000 0.0000 0.5000 [1 per cell]
4 Rh 0.5000 0.5000 0.0000 [1 per cell]

3.
Computed, not measured: Sr2Tl3CdPd4 after structural relaxation at the PBE-GGA level of DFT.

ΔE_f: -411 meV per atom
Magnetization: 0.00 Bohr magnetons per cell
E_tot: -3.626 eV/atom

abc: 4.8272 4.8272 10.7209
angles: 90.00 90.00 90.00
Space group P-4m2 (No. 115)
Symmetry-distinct sites (fractional):
1 Sr 0.0000 0.5000 0.2377 [2 per cell]
2 Tl 0.0000 0.5000 0.8773 [2 per cell]
3 Tl 0.5000 0.5000 0.5000 [1 per cell]
4 Cd 0.0000 0.0000 0.5000 [1 per cell]
5 Pd 0.0000 0.0000 0.0000 [1 per cell]
6 Pd 0.0000 0.5000 0.6271 [2 per cell]
7 Pd 0.5000 0.5000 0.0000 [1 per cell]

4.
Computed, not measured: KNiMo2 after structural relaxation at the PBE-GGA level of DFT.

ΔE_f: 825 meV per atom
Magnetization: 0.00 Bohr magnetons per cell
E_tot: -6.310 eV/atom

abc: 2.6702 2.6702 10.1755
angles: 90.00 90.00 90.00
Space group P4/mmm (No. 123)
Symmetry-distinct sites (fractional):
1 K 0.0000 0.0000 0.0000 [1 per cell]
2 Ni 0.0000 0.0000 0.5000 [1 per cell]
3 Mo 0.5000 0.5000 0.3157 [2 per cell]

5.
Computed, not measured: PmSmSiGe after structural relaxation at the PBE-GGA level of DFT.

Formation energy without anion corrections: -0.474 eV/atom
Magnetization: 0.00 Bohr magnetons per cell
E_tot: -5.352 eV/atom

abc: 7.2865 7.2865 7.2865
angles: 90.00 90.00 90.00
Space group F-43m (No. 216)
Symmetry-distinct sites (fractional):
1 Pm 0.0000 0.0000 0.0000 [4 per cell]
2 Sm 0.0000 0.0000 0.5000 [4 per cell]
3 Si 0.2500 0.2500 0.2500 [4 per cell]
4 Ge 0.2500 0.2500 0.7500 [4 per cell]